First-principles (GGA-PBE) data for a relaxed structure of KTl2Mo, as listed in the Alexandria database.

```
KTl2Mo
1.0
-2.428 2.428 4.775
2.428 -2.428 4.775
2.428 2.428 -4.775
K Tl Mo
1 2 1
direct
0.000 0.000 0.000 K
0.500 0.500 0.000 Tl
0.750 0.250 0.500 Tl
0.250 0.750 0.500 Mo
```

Calculated values
energy above the most stable polymorph in this dataset	0.425	eV/atom
space-group type	I-4m2, No. 119
total magnetic moment	0.9180	μB per atom